No. 1
This record from Alexandria describes Ti6Be2N after structural relaxation. The functional is GGA-PBE.

Geometry as extended XYZ:
```
9
Lattice="6.781 0.000 0.000 -3.390 5.872 0.000 0.000 0.000 3.044" Properties=species:S:1:pos:R:3 pbc="T T T"
Ti -1.381 2.391 0.000
Ti -2.576 4.461 1.522
Ti 0.815 1.411 1.522
Ti 2.761 0.000 0.000
Ti 2.010 3.481 0.000
Ti 5.151 0.000 1.522
Be 0.000 3.915 1.522
Be 3.390 1.957 1.522
N 0.000 0.000 0.000
```

- Raw formation energy: -2.89 eV/f.u.
- V: 13.468 A^3/atom
- Electronic total energy: -7.337 eV per atom

***

No. 2
This record from Alexandria describes TiBe3N after structural relaxation. The functional is GGA-PBE.

Geometry as extended XYZ:
```
5
Lattice="3.642 0.000 0.000 0.000 3.642 0.000 0.000 0.000 3.642" Properties=species:S:1:pos:R:3 pbc="T T T"
Ti 0.000 0.000 0.000
Be 0.000 1.821 1.821
Be 1.821 0.000 1.821
Be 1.821 1.821 0.000
N 1.821 1.821 1.821
```

- Raw formation energy: 1.11 eV/f.u.
- V: 9.663 A^3/atom
- Offset from the most stable computed form: 0 meV/atom
- Electronic total energy: -5.259 eV per atom

***

No. 3
This record from Alexandria describes TiBeN2 after structural relaxation. The functional is GGA-PBE.

Geometry as extended XYZ:
```
4
Lattice="3.194 0.000 0.000 -1.597 2.766 0.000 0.000 0.000 4.575" Properties=species:S:1:pos:R:3 pbc="T T T"
Ti 0.000 0.000 0.000
Be 1.597 0.922 2.322
N 0.000 0.000 2.729
N 1.597 0.922 0.578
```

- Raw formation energy: -4.44 eV/f.u.
- V: 10.107 A^3/atom
- Electronic total energy: -8.177 eV per atom

***

No. 4
This record from Alexandria describes TiBe2N2 after structural relaxation. The functional is GGA-PBE.

Geometry as extended XYZ:
```
10
Lattice="2.850 0.000 0.000 0.000 2.850 0.000 0.000 0.000 9.362" Properties=species:S:1:pos:R:3 pbc="T T T"
Ti 0.000 0.000 0.000
Ti 1.425 1.425 4.681
Be 0.000 1.425 2.341
Be 0.000 1.425 7.022
Be 1.425 0.000 2.341
Be 1.425 0.000 7.022
N 0.000 0.000 3.327
N 0.000 0.000 6.035
N 1.425 1.425 1.354
N 1.425 1.425 8.008
```

- Raw formation energy: -3.84 eV/f.u.
- V: 7.607 A^3/atom
- Offset from the most stable computed form: 0 meV/atom
- Electronic total energy: -7.167 eV per atom

***

No. 5
This record from Alexandria describes TiBeN after structural relaxation. The functional is GGA-PBE.

Geometry as extended XYZ:
```
6
Lattice="2.985 0.000 0.000 -1.493 2.585 0.000 0.000 0.000 7.923" Properties=species:S:1:pos:R:3 pbc="T T T"
Ti 0.000 0.000 0.000
Ti 0.000 1.724 5.562
Be 0.000 0.000 3.588
Be 0.000 1.724 2.041
N 0.000 0.000 1.996
N 1.493 0.862 6.704
```

- Raw formation energy: -3.16 eV/f.u.
- V: 10.192 A^3/atom
- Offset from the most stable computed form: 0 meV/atom
- Electronic total energy: -7.701 eV per atom

***

No. 6
This record from Alexandria describes TiBeN after structural relaxation. The functional is GGA-PBE.

Geometry as extended XYZ:
```
12
Lattice="9.724 0.000 0.000 0.000 2.862 0.000 -0.673 0.000 4.196" Properties=species:S:1:pos:R:3 pbc="T T T"
Ti 0.000 0.000 0.000
Ti 1.777 1.431 2.231
Ti 4.862 1.431 0.000
Ti 6.639 0.000 2.231
Be 2.669 0.000 0.293
Be 4.139 0.000 2.056
Be 7.531 1.431 0.293
Be 9.001 1.431 2.056
N 0.227 0.000 2.146
N 2.953 0.000 3.216
N 5.089 1.431 2.146
N 7.815 1.431 3.216
```

- Raw formation energy: -2.82 eV/f.u.
- V: 9.730 A^3/atom
- Offset from the most stable computed form: 113 meV/atom
- Electronic total energy: -7.588 eV per atom

***

No. 7
This record from Alexandria describes TiBeN after structural relaxation. The functional is GGA-PBE.

Geometry as extended XYZ:
```
6
Lattice="1.487 0.858 8.036 -1.487 0.858 8.036 0.000 -1.717 8.036" Properties=species:S:1:pos:R:3 pbc="T T T"
Ti 0.000 0.000 0.000
Ti 0.000 0.000 10.400
Be 0.000 0.000 4.378
Be 0.000 0.000 14.016
N 0.000 0.000 12.426
N 0.000 0.000 17.236
```

- Raw formation energy: -3.02 eV/f.u.
- V: 10.257 A^3/atom
- Offset from the most stable computed form: 45 meV/atom
- Electronic total energy: -7.656 eV per atom

***

No. 8
This record from Alexandria describes TiBeN2 after structural relaxation. The functional is GGA-PBE.

Geometry as extended XYZ:
```
12
Lattice="3.094 0.000 0.000 -1.547 2.679 0.000 0.000 0.000 15.504" Properties=species:S:1:pos:R:3 pbc="T T T"
Ti 0.000 0.000 0.000
Ti 0.000 1.786 10.336
Ti 1.547 0.893 5.168
Be 0.000 0.000 7.752
Be 0.000 1.786 2.584
Be 1.547 0.893 12.920
N 0.000 0.000 6.233
N 0.000 0.000 9.271
N 0.000 1.786 1.065
N 0.000 1.786 4.103
N 1.547 0.893 11.401
N 1.547 0.893 14.439
```

- Raw formation energy: -3.97 eV/f.u.
- V: 10.708 A^3/atom
- Electronic total energy: -8.060 eV per atom

***

Number 8 is which compound? TiBeN2

***

Which formula does entry 1 have? Ti6Be2N

***

Number 5 is which compound? TiBeN

***

Look up the electronic total energy of the third one. -8.177 eV per atom